(1)
{
  "formula": "HfSNO2",
  "functional": "GGA-PBE",
  "state": "relaxed",
  "cell": [[3.773, 0.000, 0.000], [0.000, 3.773, 0.000], [0.000, 0.000, 3.754]],
  "species": ["S", "Hf", "O", "O", "N"],
  "fractional_positions": [[0.000, 0.000, 0.000], [0.500, 0.500, 0.500], [0.000, 0.500, 0.000], [0.500, 0.000, 0.000], [0.000, 0.000, 0.500]],
  "dft_energy_ev_per_atom": -6.556,
  "dos_at_fermi_per_ev_cell": 1.95
}

---

(2)
{
  "formula": "Ga5Ni12As2",
  "functional": "GGA-PBE",
  "state": "relaxed",
  "cell": [[-0.362, -0.737, -7.609], [-1.746, -5.068, 4.423], [-4.859, 2.192, 0.019]],
  "species": ["Ga", "Ga", "Ga", "Ga", "Ga", "Ni", "Ni", "Ni", "Ni", "Ni", "Ni", "Ni", "Ni", "Ni", "Ni", "Ni", "Ni", "As", "As"],
  "fractional_positions": [[0.246, 0.491, 0.540], [0.317, 0.634, 0.082], [0.000, 0.000, 0.500], [0.683, 0.366, 0.918], [0.754, 0.509, 0.460], [0.118, 0.237, 0.894], [0.051, 0.616, 0.797], [0.565, 0.616, 0.797], [0.174, 0.799, 0.390], [0.624, 0.799, 0.390], [0.458, 0.917, 0.743], [0.542, 0.083, 0.257], [0.826, 0.201, 0.610], [0.376, 0.201, 0.610], [0.949, 0.384, 0.203], [0.435, 0.384, 0.203], [0.882, 0.763, 0.106], [0.760, 0.000, 0.000], [0.240, 0.000, 0.000]],
  "dft_energy_ev_per_atom": -5.193,
  "formation_energy_ev_per_fu": -4.852,
  "dos_at_fermi_per_ev_cell": 9.53
}

---

(3)
{
  "formula": "IrOsSe",
  "functional": "GGA-PBE",
  "state": "relaxed",
  "cell": [[7.604, 0.025, -0.015], [6.822, 2.700, -0.022], [0.783, -1.260, 2.360]],
  "species": ["Ir", "Os", "Se"],
  "fractional_positions": [[0.992, 0.992, 0.008], [0.338, 0.338, 0.662], [0.670, 0.670, 0.330]],
  "dft_energy_ev_per_atom": -7.117,
  "dos_at_fermi_per_ev_cell": 3.58
}

---

(4)
{
  "formula": "Fe2GeHOs",
  "functional": "GGA-PBE",
  "state": "relaxed",
  "cell": [[3.741, 0.000, 0.000], [0.000, 3.741, 0.000], [0.000, 0.000, 3.881]],
  "species": ["H", "Ge", "Os", "Fe", "Fe"],
  "fractional_positions": [[0.000, 0.000, 0.000], [0.500, 0.500, 0.500], [0.000, 0.000, 0.500], [0.000, 0.500, 0.000], [0.500, 0.000, 0.000]],
  "dft_energy_ev_per_atom": -7.096,
  "dos_at_fermi_per_ev_cell": 4.37
}